No. 1
# Sr3Dy

An optimized crystal structure of Sr3Dy (PBE, Alexandria).

* energy of formation: 6.49 kcal/mol of atoms
* VASP energy: -0.157 Ry per atom
* relative energy among the computed polymorphs: 102 meV per atom

Cell lengths 3.773, 3.918, 12.808 Å; angles 90.00, 90.00, 90.00 degrees
Fractional positions:
Sr 0.000 0.000 0.000
Sr 0.000 0.500 0.282
Sr 0.500 0.500 0.744
Dy 0.500 0.000 0.496

No. 2
# SrDy3

An optimized crystal structure of SrDy3 (PBE, Alexandria).

* energy of formation: 3.85 kcal/mol of atoms
* VASP energy: -0.272 Ry per atom
* relative energy among the computed polymorphs: 0 meV per atom

Cell lengths 3.693, 11.840, 6.455 Å; angles 90.00, 90.00, 90.00 degrees
Fractional positions:
Sr 0.000 0.000 0.000
Sr 0.500 0.500 0.500
Dy 0.000 0.237 0.655
Dy 0.000 0.500 0.995
Dy 0.000 0.763 0.655
Dy 0.500 0.000 0.495
Dy 0.500 0.263 0.155
Dy 0.500 0.737 0.155

No. 3
# SrDy5

An optimized crystal structure of SrDy5 (PBE, Alexandria).

* energy of formation: 4.41 kcal/mol of atoms
* VASP energy: -0.288 Ry per atom

Cell lengths 5.952, 18.399, 3.767 Å; angles 90.00, 90.00, 90.00 degrees
Fractional positions:
Sr 0.000 0.000 0.000
Sr 0.500 0.500 0.000
Dy 0.000 0.188 0.500
Dy 0.000 0.347 0.000
Dy 0.000 0.500 0.500
Dy 0.000 0.653 0.000
Dy 0.000 0.812 0.500
Dy 0.500 0.000 0.500
Dy 0.500 0.153 0.000
Dy 0.500 0.312 0.500
Dy 0.500 0.688 0.500
Dy 0.500 0.847 0.000

> Which of these has the highest energy of formation?

Sr3Dy

> What is the formula in the first record?

Sr3Dy